1.
Below is crystalline BeSi2MoI at its relaxed geometry, with properties calculated at the PBE-GGA level.

## Properties
Formation energy (no corrections)   1.103 eV per atom
Crystal system   tetragonal
Density of states at the Fermi level   0.654 states/eV/atom
Energy   -4.29 eV per atom

Cell: 4.685 5.761 4.685 Å, 90.00 90.00 90.00°
Sites, in units of the cell vectors:
1 I 0.000 0.500 0.000
2 Be 0.500 0.500 0.500
3 Mo 0.000 0.000 0.000
4 Si 0.000 0.000 0.500
5 Si 0.500 0.000 0.000

=====

2.
Below is crystalline SrBe2MoI at its relaxed geometry, with properties calculated at the PBE-GGA level.

## Properties
Formation energy (no corrections)   0.927 eV per atom
Crystal system   tetragonal
Density of states at the Fermi level   0.814 states/eV/atom
Energy   -3.38 eV per atom

Cell: 4.681 6.519 4.681 Å, 90.00 90.00 90.00°
Sites, in units of the cell vectors:
1 I 0.500 0.500 0.500
2 Sr 0.000 0.500 0.000
3 Mo 0.000 0.000 0.000
4 Be 0.000 0.000 0.500
5 Be 0.500 0.000 0.000

=====

3.
Below is crystalline BeTeMoI2 at its relaxed geometry, with properties calculated at the PBE-GGA level.

## Properties
Formation energy (no corrections)   0.861 eV per atom
Crystal system   tetragonal
Density of states at the Fermi level   0.346 states/eV/atom
Energy   -3.30 eV per atom

Cell: 5.691 5.691 5.233 Å, 90.00 90.00 90.00°
Sites, in units of the cell vectors:
1 I 0.000 0.500 0.000
2 I 0.500 0.000 0.000
3 Be 0.500 0.500 0.500
4 Mo 0.000 0.000 0.000
5 Te 0.000 0.000 0.500

=====

4.
Below is crystalline BeTeMoI2 at its relaxed geometry, with properties calculated at the PBE-GGA level.

## Properties
Formation energy (no corrections)   0.889 eV per atom
Crystal system   tetragonal
Density of states at the Fermi level   0.562 states/eV/atom
Energy   -3.27 eV per atom

Cell: 5.135 5.135 5.274 Å, 90.00 90.00 90.00°
Sites, in units of the cell vectors:
1 I 0.000 0.500 0.000
2 I 0.500 0.000 0.000
3 Be 0.000 0.000 0.000
4 Mo 0.500 0.500 0.500
5 Te 0.000 0.000 0.500

=====

5.
Below is crystalline TiBeMo2I at its relaxed geometry, with properties calculated at the PBE-GGA level.

## Properties
Formation energy (no corrections)   2.057 eV per atom
Crystal system   tetragonal
Density of states at the Fermi level   1.272 states/eV/atom
Energy   -4.91 eV per atom

Cell: 4.867 4.861 4.867 Å, 90.00 90.00 90.00°
Sites, in units of the cell vectors:
1 I 0.000 0.000 0.000
2 Be 0.500 0.500 0.500
3 Mo 0.000 0.000 0.500
4 Mo 0.500 0.000 0.000
5 Ti 0.000 0.500 0.000

=====

6.
Below is crystalline Be3IN at its relaxed geometry, with properties calculated at the PBE-GGA level.

## Properties
Formation energy (no corrections)   2.673 eV per atom
Crystal system   cubic
Density of states at the Fermi level   0.432 states/eV/atom
Energy   -1.54 eV per atom

Cell: 4.673 4.673 4.673 Å, 90.00 90.00 90.00°
Sites, in units of the cell vectors:
1 I 0.000 0.000 0.000
2 Be 0.000 0.500 0.000
3 Be 0.000 0.000 0.500
4 Be 0.500 0.000 0.000
5 N 0.500 0.500 0.500

=====

Table of theoretical density (g/cm3), in record order: 3.78, 3.82, 4.77, 5.81, 5.42, 2.73